Entry 1:
! Dy2Sn5 | the Alexandria database | meta-GGA SCAN | PBEsol geometry; values from VASP
&SYSTEM
  ibrav = 0, nat = 14, ntyp = 2
/
ATOMIC_SPECIES
Sn 118.71 Sn.upf
Dy 162.50 Dy.upf
CELL_PARAMETERS angstrom
4.3086 0.0000 0.0000
0.0000 4.3500 0.0000
0.0000 0.0000 18.8311
ATOMIC_POSITIONS angstrom
Sn 2.1543 2.1750 4.9842
Sn 2.1543 0.0000 7.9710
Sn 0.0000 0.0000 18.8103
Sn 2.1543 2.1750 0.0208
Sn 0.0000 2.1750 10.8602
Dy 0.0000 0.0000 5.6431
Sn 2.1543 0.0000 15.8867
Sn 2.1543 0.0000 10.8581
Sn 0.0000 2.1750 7.9730
Dy 2.1543 0.0000 2.4291
Sn 0.0000 2.1750 2.9445
Dy 2.1543 2.1750 13.1880
Sn 0.0000 0.0000 13.8470
Dy 0.0000 2.1750 16.4021
! Crystal system ... orthorhombic
! Total magnetization ... 0.000 μB per formula unit
! Symmetry ... No. 59
! DFT total energy ... -558.53 eV/cell
! DFT formation energy ... -0.581 eV/atom

---

Entry 2:
! Dy5Sn13 | the Alexandria database | meta-GGA SCAN | PBEsol geometry; values from VASP
&SYSTEM
  ibrav = 0, nat = 18, ntyp = 2
/
ATOMIC_SPECIES
Sn 118.71 Sn.upf
Dy 162.50 Dy.upf
CELL_PARAMETERS angstrom
-2.7251 0.3479 -3.3569
1.4090 -3.8365 -1.5414
-16.1888 -9.4701 14.9626
ATOMIC_POSITIONS angstrom
Sn -8.7397 -8.2050 6.2442
Sn -2.4498 -2.9370 -1.1183
Dy -2.7824 -4.2394 1.8193
Sn -5.3185 -3.5404 3.9505
Sn -15.0551 -10.0217 11.1826
Sn -10.8060 -6.1123 5.3360
Sn -1.7855 -1.1885 1.3262
Sn 0.7045 -1.9183 -0.7707
Dy -6.4204 -5.5802 1.8310
Sn -6.6988 -6.8464 4.7283
Sn -12.1863 -9.4184 6.1138
Sn -12.2510 -10.5423 8.8524
Dy -11.0845 -7.3786 8.2333
Sn -8.7652 -4.7538 3.8201
Dy -1.3625 0.1740 -1.6785
Dy -14.7225 -8.7194 8.2450
Sn -15.7194 -11.7702 8.7381
Sn -5.2539 -2.4164 1.2120
! Crystal system ... orthorhombic
! Total magnetization ... 0.000 μB per formula unit
! Symmetry ... No. 71
! DFT total energy ... -716.03 eV/cell
! DFT formation energy ... -0.560 eV/atom

---

Entry 3:
! Dy5Sn3 | the Alexandria database | meta-GGA SCAN | PBEsol geometry; values from VASP
&SYSTEM
  ibrav = 0, nat = 16, ntyp = 2
/
ATOMIC_SPECIES
Sn 118.71 Sn.upf
Dy 162.50 Dy.upf
CELL_PARAMETERS angstrom
-3.2004 -3.8265 4.0775
6.1302 1.4699 6.1909
-7.0550 5.2881 -0.5748
ATOMIC_POSITIONS angstrom
Sn -6.6638 0.3258 2.7108
Dy 0.1349 0.8294 5.9744
Dy 1.7351 2.7426 3.9357
Sn -3.5916 1.1357 0.7920
Sn 1.3043 -1.9816 6.7995
Sn -1.3590 3.1274 4.4133
Dy -4.2601 2.1021 3.7192
Dy -2.6599 4.0154 1.6804
Dy 3.8713 0.1635 5.7371
Dy -4.0791 -1.6115 2.9214
Dy -1.0202 0.6515 2.3558
Dy -0.9415 -2.5201 4.5314
Sn -2.7662 -0.1959 5.2803
Sn 1.6255 -0.3750 3.4690
Dy -3.1050 2.2800 7.3378
Dy -6.1762 3.0731 0.5814
! Crystal system ... hexagonal
! Total magnetization ... 0.000 μB per formula unit
! Symmetry ... No. 193
! DFT total energy ... -706.61 eV/cell
! DFT formation energy ... -0.820 eV/atom

---

Entry 4:
! DySn2 | the Alexandria database | meta-GGA SCAN | PBEsol geometry; values from VASP
&SYSTEM
  ibrav = 0, nat = 12, ntyp = 2
/
ATOMIC_SPECIES
Sn 118.71 Sn.upf
Dy 162.50 Dy.upf
CELL_PARAMETERS angstrom
-1.6826 1.8067 3.5518
2.9894 -1.9770 2.4218
9.0690 12.6186 -4.7565
ATOMIC_POSITIONS angstrom
Sn 0.6534 -0.0851 2.9868
Sn 7.3169 8.5049 1.7739
Dy 4.0353 4.2745 2.3712
Dy 6.3406 8.1738 -1.1541
Sn 6.3559 5.2782 0.3261
Sn 9.4149 9.2216 -0.2307
Dy 7.4018 11.5297 0.2755
Sn 3.2970 1.3348 0.8829
Dy 0.6381 2.8104 1.5066
Sn 4.0199 7.1701 0.8910
Sn 0.0000 0.0000 0.0000
Sn 3.0590 3.9434 -0.5568
! Crystal system ... tetragonal
! Total magnetization ... 0.000 μB per formula unit
! Symmetry ... No. 141
! DFT total energy ... -486.59 eV/cell
! DFT formation energy ... -0.670 eV/atom

---

Entry 5:
! DyTe | the Alexandria database | meta-GGA SCAN | PBEsol geometry; values from VASP
&SYSTEM
  ibrav = 0, nat = 2, ntyp = 2
/
ATOMIC_SPECIES
Te 127.60 Te.upf
Dy 162.50 Dy.upf
CELL_PARAMETERS angstrom
4.2839 0.0000 0.0000
2.1419 3.7099 0.0000
2.1419 1.2366 3.4978
ATOMIC_POSITIONS angstrom
Te 4.2839 2.4733 1.7489
Dy 0.0000 0.0000 0.0000
! Crystal system ... cubic
! Total magnetization ... 0.000 μB per formula unit
! Symmetry ... No. 225
! Energy relative to the elements, uncorrected ... -32.0 kcal/mol of atoms
! DFT total energy ... -87.82 eV/cell

---

Entry 6:
! Dy2Te | the Alexandria database | meta-GGA SCAN | PBEsol geometry; values from VASP
&SYSTEM
  ibrav = 0, nat = 36, ntyp = 2
/
ATOMIC_SPECIES
Te 127.60 Te.upf
Dy 162.50 Dy.upf
CELL_PARAMETERS angstrom
3.9985 0.0000 0.0000
0.0000 11.3500 0.0000
0.0000 0.0000 21.7685
ATOMIC_POSITIONS angstrom
Te 2.9989 11.1213 16.0861
Te 2.9989 5.9036 5.2019
Dy 0.9996 5.1660 7.4031
Dy 0.9996 8.6897 15.9487
Te 0.9996 9.6300 1.5024
Te 0.9996 8.0667 8.1026
Dy 0.9996 3.9793 19.4179
Dy 0.9996 0.9916 14.0907
Dy 0.9996 4.3692 11.6350
Te 0.9996 8.9582 18.9868
Dy 2.9989 6.9808 10.1335
Dy 2.9989 7.3707 2.3506
Dy 0.9996 10.0665 10.5096
Dy 2.9989 1.2835 11.2589
Dy 2.9989 6.1840 14.3654
Dy 2.9989 3.0147 16.7040
Dy 0.9996 1.3058 0.7508
Dy 2.9989 10.0442 21.0177
Dy 0.9996 4.6833 3.2064
Dy 2.9989 10.3583 7.6778
Dy 2.9989 9.6543 13.2348
Te 0.9996 7.3950 12.3867
Dy 2.9989 10.8410 3.4811
Te 2.9989 3.2832 13.6659
Dy 2.9989 4.3915 0.3746
Dy 0.9996 1.6957 8.5336
Dy 0.9996 0.5090 18.2873
Te 2.9989 2.3917 2.7817
Te 0.9996 5.4463 16.5666
Te 2.9989 1.7200 20.2661
Te 2.9989 3.9550 9.3818
Dy 0.9996 8.3353 5.0644
Te 0.9996 0.2287 5.6824
Dy 2.9989 2.6603 5.8198
Dy 2.9989 6.6666 18.5620
Dy 0.9996 6.9584 21.3938
! Crystal system ... orthorhombic
! Total magnetization ... 0.297 μB per formula unit
! Symmetry ... No. 62
! Energy relative to the elements, uncorrected ... -22.1 kcal/mol of atoms
! DFT total energy ... -1628.66 eV/cell

---

Entry 7:
! Dy2Te3 | the Alexandria database | meta-GGA SCAN | PBEsol geometry; values from VASP
&SYSTEM
  ibrav = 0, nat = 20, ntyp = 2
/
ATOMIC_SPECIES
Te 127.60 Te.upf
Dy 162.50 Dy.upf
CELL_PARAMETERS angstrom
-1.4657 4.3896 -5.7875
5.4481 -4.6964 -1.7816
-10.6607 -8.3034 -0.4340
ATOMIC_POSITIONS angstrom
Te -1.1826 0.6863 -5.4757
Te -4.8085 -5.7053 -4.7052
Te 2.2607 -3.8260 -3.5066
Te 2.9627 -0.2282 -5.6310
Dy -4.3329 -4.2265 -2.1084
Te -8.9287 -4.7850 -4.5164
Te 1.0197 -0.0785 -1.9381
Dy -2.3455 -4.3836 -5.8948
Dy -1.4333 -1.3981 -0.6975
Te -6.0391 -1.9587 -3.1566
Te -1.8939 -2.8732 -3.3119
Te -5.5062 -9.2956 -2.5076
Dy -5.9436 -10.8031 -5.1085
Te -4.0961 -2.1084 -6.8495
Dy -5.2450 -7.2120 -7.3057
Te -6.7652 -5.5843 -0.9266
Te 0.1109 -3.0574 -7.0627
Dy -0.1774 -5.1784 -2.3027
Dy 2.7221 -2.3501 -0.8917
Dy -3.0441 -7.9747 -3.6976
! Crystal system ... orthorhombic
! Total magnetization ... 0.000 μB per formula unit
! Symmetry ... No. 70
! Energy relative to the elements, uncorrected ... -35.7 kcal/mol of atoms
! DFT total energy ... -860.31 eV/cell

---

Entry 8:
! DyTlTe2 | the Alexandria database | meta-GGA SCAN | PBEsol geometry; values from VASP
&SYSTEM
  ibrav = 0, nat = 4, ntyp = 3
/
ATOMIC_SPECIES
Te 127.60 Te.upf
Tl 204.38 Tl.upf
Dy 162.50 Dy.upf
CELL_PARAMETERS angstrom
4.3468 0.0000 0.0000
2.1734 3.7645 0.0000
2.1734 1.2548 8.0065
ATOMIC_POSITIONS angstrom
Te 6.5203 3.7645 6.2581
Tl 4.3468 2.5097 4.0032
Te 2.1734 1.2548 1.7483
Dy 0.0000 0.0000 0.0000
! Crystal system ... trigonal
! Total magnetization ... 0.000 μB per formula unit
! Symmetry ... No. 166
! Energy relative to the elements, uncorrected ... -26.2 kcal/mol of atoms
! DFT total energy ... -199.20 eV/cell

---

Entry 9:
! DyTlZn | the Alexandria database | meta-GGA SCAN | PBEsol geometry; values from VASP
&SYSTEM
  ibrav = 0, nat = 6, ntyp = 3
/
ATOMIC_SPECIES
Tl 204.38 Tl.upf
Dy 162.50 Dy.upf
Zn 65.41 Zn.upf
CELL_PARAMETERS angstrom
-0.0997 2.2591 -4.0162
-3.5002 0.4217 2.9688
3.2634 5.5758 3.0553
ATOMIC_POSITIONS angstrom
Tl 1.2143 5.8285 0.6037
Dy 0.0000 0.0000 0.0000
Zn 0.0808 5.2160 2.9320
Zn -0.4174 3.0406 -0.9240
Dy 1.6317 2.7879 1.5277
Tl -1.5508 2.4281 1.4043
! Crystal system ... hexagonal
! Total magnetization ... 0.171 μB per formula unit
! Symmetry ... No. 194
! DFT total energy ... -270.14 eV/cell
! DFT formation energy ... -0.466 eV/atom

---

- Which value of DFT total energy does entry 8 give?
  -199.20 eV/cell

---

- Look up the DFT total energy of the seventh one.
  -860.31 eV/cell